The following is a DFT calculation (PBEsol) of crystalline InBr at its relaxed geometry.

Summary:
SG	No. 186
uncorrected formation energy	-1.00	eV/f.u.
magnetic moment	0.00	μB per formula unit

Unit cell a=5.4847 b=5.4847 c=6.4422 alpha=90.00 beta=90.00 gamma=120.00
Last column: nearest neighbours and their distance in Å.
Element x y z (fractional)
In1 0.3333 0.6667 0.0000  5 Br 3.17-3.23
In2 0.6667 0.3333 0.5000  5 Br 3.17-3.23
Br1 0.3333 0.6667 0.5008  5 In 3.17-3.23
Br2 0.6667 0.3333 0.0008  5 In 3.17-3.23